Pu3PaIr2, relaxed, DFT PBE; final energy = -12.126 eV per atom; crystal system = orthorhombic; polymorph energy (0 for the lowest one) = 0 meV/atom; formation energy = -0.42 eV per atom; symmetry = Pmc2_1 (26)
1.0
-0.8176 4.0799 0.6493
-7.5559 -1.4708 -0.2735
-0.0397 -1.2655 7.9021
Ir Pu Pa
4 6 2
Direct
0.5000 0.1938 0.1211
0.5000 0.6938 0.8789
0.0000 0.8078 0.4000
0.0000 0.3078 0.6000
0.0000 0.4273 0.9208
0.5000 0.0978 0.7762
0.0000 0.9273 0.0792
0.0000 0.9053 0.7299
0.5000 0.5978 0.2238
0.0000 0.4053 0.2701
0.5000 0.0681 0.4352
0.5000 0.5681 0.5648